A plane-wave DFT calculation with GGA+U was carried out for a geometry-optimized La2FeP2O structure.

Cell: 3.3476 3.3476 14.7853 Å, 90.00 90.00 90.00°
Closest atoms and distances in Å follow each position.
Atoms (fractional coordinates):
La: 0.0000 0.0000 0.1428  1 O 2.11
La: 0.0000 0.0000 0.8572  1 O 2.11
Fe: 0.0000 0.0000 0.5000  2 P 2.35
P: 0.0000 0.0000 0.3409  1 Fe 2.35
P: 0.0000 0.0000 0.6591  1 Fe 2.35
O: 0.0000 0.0000 0.0000  2 La 2.11

Results
As for the space group: P4/mmm, No. 123. For the density of states at the Fermi level, the calculation gives 4.56 states/eV/f.u. The value obtained for the electronic total energy is -31.7 eV per cell.